# Ho2ErTh

Ho2ErTh after structural relaxation (PBE, Alexandria).

POSCAR file:
```
Ho2ErTh
1.0
-2.918 -6.302 -1.535
5.693 -3.294 2.703
-0.716 3.069 5.240
Er Ho Th
2 4 2
Direct
0.250 0.750 0.000 Er
0.750 0.250 0.000 Er
0.250 0.500 0.500 Ho
0.750 0.500 0.500 Ho
0.750 0.000 0.500 Ho
0.250 0.000 0.500 Ho
0.250 0.250 0.000 Th
0.750 0.750 0.000 Th
```

Summary:
Excess energy over the best structure of this formula in the dataset: 23 meV per atom
Calculated density: 9.6 g cm⁻³
Energy of formation: 0.0485 eV/atom